Record 1
Crystalline Ba2SrLa at its relaxed geometry. Source: Alexandria, functional PBE.

Unit cell a=4.570 b=6.748 c=13.506 alpha=90.00 beta=90.00 gamma=90.00
Space group Imm2 (No. 44)
Unique sites:
Ba  0.000  0.000  0.000
Ba  0.000  0.500  0.238
Sr  0.000  0.000  0.479
La  0.000  0.500  0.740

The total energy is -0.182 Ry per atom. The calculation puts the volume at 416.5 Å³ per cell. The value obtained for the energy of formation from the pure elements is 0.1438 eV/atom.

---

Record 2
Crystalline Sm2TmAg at its relaxed geometry. Source: Alexandria, functional PBE.

Unit cell a=3.615 b=3.615 c=8.890 alpha=90.00 beta=90.00 gamma=90.00
Space group P4/mmm (No. 123)
Unique sites:
Sm  0.000  0.000  0.221
Tm  0.500  0.500  0.500
Ag  0.500  0.500  0.000

The total energy is -0.316 Ry per atom. The calculation puts the volume at 116.2 Å³ per cell. The value obtained for the energy of formation from the pure elements is -0.1024 eV/atom.

---

Record 3
Crystalline CoMo2Au at its relaxed geometry. Source: Alexandria, functional PBE.

Unit cell a=3.776 b=3.811 c=4.129 alpha=90.00 beta=90.00 gamma=90.00
Space group Pmmm (No. 47)
Unique sites:
Co  0.000  0.000  0.000
Mo  0.000  0.500  0.500
Mo  0.500  0.000  0.500
Au  0.500  0.500  0.000

The total energy is -0.575 Ry per atom. The calculation puts the volume at 59.4 Å³ per cell. The value obtained for the energy of formation from the pure elements is 0.1937 eV/atom.

---

Question: Number 1 is which compound?
Answer: Ba2SrLa